Cu2PBrN at its PBEsol-relaxed geometry, computed with meta-GGA SCAN.

Cell lengths 3.8090, 3.8090, 4.8370 Å; angles 90.00, 90.00, 90.00 degrees
With the nearest neighbours (Å) after each atom.
Positions (direct):
P (0.0000, 0.0000, 0.5000)  2 N 2.42, 4 Br 2.69
Cu (0.0000, 0.5000, 0.0000)  2 N 1.90
Cu (0.5000, 0.0000, 0.0000)  2 N 1.90
Br (0.5000, 0.5000, 0.5000)  4 P 2.69
N (0.0000, 0.0000, 0.0000)  4 Cu 1.90

Results
crystal system	tetragonal
calculated total energy	-66.16	eV for the cell shown
E_form (uncorrected)	0.678	eV per atom
magnetization	0.000	μB per atom
symmetry	P4/mmm, No. 123